A plane-wave DFT calculation with GGA+U was carried out for a relaxed NaMoO2F crystal.

Unit cell a=4.013 b=4.013 c=4.235 alpha=90.00 beta=90.00 gamma=90.00
Element x y z (fractional)
Na (0.000, 0.000, 0.000)
Mo (0.500, 0.500, 0.500)
O (0.000, 0.500, 0.500)
O (0.500, 0.000, 0.500)
F (0.500, 0.500, 0.000)

- SG = P4/mmm, No. 123
- electronic total energy (eV/f.u.) = -29.7
- volume (A^3/atom) = 13.638